Record 1
First-principles (PBE-GGA) data for Co4W11 after structural relaxation, as listed in OQMD.

a = 9.3587 Å, b = 9.3587 Å, c = 5.1316 Å
α = 90.00°, β = 90.00°, γ = 90.00°
Fractional coordinates of all 30 atoms:
Co 0.0358 0.3639 0.0000
Co 0.1361 0.5358 0.5000
Co 0.3639 0.0358 0.0000
Co 0.4642 0.8639 0.5000
Co 0.5358 0.1361 0.5000
Co 0.6361 0.9642 0.0000
Co 0.8639 0.4642 0.5000
Co 0.9642 0.6361 0.0000
W 0.0000 0.0000 0.5000
W 0.0556 0.2753 0.5000
W 0.1036 0.1036 0.0000
W 0.1899 0.8101 0.2489
W 0.1899 0.8101 0.7511
W 0.2247 0.5556 0.0000
W 0.2753 0.0556 0.5000
W 0.3101 0.3101 0.2511
W 0.3101 0.3101 0.7489
W 0.3964 0.6036 0.5000
W 0.4444 0.7753 0.0000
W 0.5000 0.5000 0.0000
W 0.5556 0.2247 0.0000
W 0.6036 0.3964 0.5000
W 0.6899 0.6899 0.2511
W 0.6899 0.6899 0.7489
W 0.7247 0.9444 0.5000
W 0.7753 0.4444 0.0000
W 0.8101 0.1899 0.2489
W 0.8101 0.1899 0.7511
W 0.8964 0.8964 0.0000
W 0.9444 0.7247 0.5000

Output
E above lowest polymorph in eV per atom: 0.000
Magnetic moment in μB per atom: 0.10
Symmetry: No. 136



Record 2
First-principles (PBE-GGA) data for Co5W7 after structural relaxation, as listed in OQMD.

a = 4.9332 Å, b = 4.9332 Å, c = 15.8090 Å
α = 90.00°, β = 90.00°, γ = 120.00°
Fractional coordinates of all 24 atoms:
Co 0.0000 0.5000 0.0000
Co 0.0000 0.5000 0.5000
Co 0.3333 0.6667 0.1176
Co 0.3333 0.6667 0.3824
Co 0.5000 0.0000 0.0000
Co 0.5000 0.0000 0.5000
Co 0.5000 0.5000 0.0000
Co 0.5000 0.5000 0.5000
Co 0.6667 0.3333 0.6176
Co 0.6667 0.3333 0.8824
W 0.0000 0.0000 0.0861
W 0.0000 0.0000 0.4139
W 0.0000 0.0000 0.5861
W 0.0000 0.0000 0.9139
W 0.1650 0.3300 0.2500
W 0.1650 0.8350 0.2500
W 0.3300 0.1650 0.7500
W 0.3333 0.6667 0.6452
W 0.3333 0.6667 0.8548
W 0.6667 0.3333 0.1452
W 0.6667 0.3333 0.3548
W 0.6700 0.8350 0.2500
W 0.8350 0.1650 0.7500
W 0.8350 0.6700 0.7500

Output
E above lowest polymorph in eV per atom: 0.005
Magnetic moment in μB per atom: 0.25
Symmetry: No. 194



Record 3
First-principles (PBE-GGA) data for Co24W5 after structural relaxation, as listed in OQMD.

a = 7.5605 Å, b = 7.5605 Å, c = 7.5605 Å
α = 109.47°, β = 109.47°, γ = 109.47°
Fractional coordinates of all 29 atoms:
Co 0.0000 0.1915 0.3754
Co 0.0000 0.3754 0.1915
Co 0.0000 0.3980 0.6783
Co 0.0000 0.6783 0.3980
Co 0.1840 0.8085 0.8085
Co 0.1915 0.0000 0.3754
Co 0.1915 0.3754 0.0000
Co 0.2802 0.6020 0.6020
Co 0.3217 0.3217 0.7198
Co 0.3217 0.7198 0.3217
Co 0.3754 0.0000 0.1915
Co 0.3754 0.1915 0.0000
Co 0.3980 0.0000 0.6783
Co 0.3980 0.6783 0.0000
Co 0.6020 0.2802 0.6020
Co 0.6020 0.6020 0.2802
Co 0.6246 0.6246 0.8160
Co 0.6246 0.8160 0.6246
Co 0.6783 0.0000 0.3980
Co 0.6783 0.3980 0.0000
Co 0.7198 0.3217 0.3217
Co 0.8085 0.1840 0.8085
Co 0.8085 0.8085 0.1840
Co 0.8160 0.6246 0.6246
W 0.0000 0.0000 0.0000
W 0.0000 0.0000 0.6344
W 0.0000 0.6344 0.0000
W 0.3656 0.3656 0.3656
W 0.6344 0.0000 0.0000

Output
Magnetic moment in μB per atom: 1.12
Symmetry: No. 217
Calculated total energy in eV/atom: -8.079



Record 4
First-principles (PBE-GGA) data for CoW5 after structural relaxation, as listed in OQMD.

a = 5.1882 Å, b = 5.1882 Å, c = 16.8847 Å
α = 90.00°, β = 90.00°, γ = 120.00°
Fractional coordinates of all 24 atoms:
Co 0.3333 0.6667 0.1654
Co 0.3333 0.6667 0.3346
Co 0.6667 0.3333 0.6654
Co 0.6667 0.3333 0.8346
W 0.0000 0.0000 0.0959
W 0.0000 0.0000 0.4041
W 0.0000 0.0000 0.5959
W 0.0000 0.0000 0.9041
W 0.0000 0.5000 0.0000
W 0.0000 0.5000 0.5000
W 0.1626 0.3253 0.7500
W 0.1626 0.8374 0.7500
W 0.3253 0.1626 0.2500
W 0.3333 0.6667 0.6237
W 0.3333 0.6667 0.8763
W 0.5000 0.0000 0.0000
W 0.5000 0.0000 0.5000
W 0.5000 0.5000 0.0000
W 0.5000 0.5000 0.5000
W 0.6667 0.3333 0.1237
W 0.6667 0.3333 0.3763
W 0.6747 0.8374 0.7500
W 0.8374 0.1626 0.2500
W 0.8374 0.6747 0.2500

Output
E above lowest polymorph in eV per atom: 0.294
Magnetic moment in μB per atom: 0.04
Symmetry: No. 194



Record 5
First-principles (PBE-GGA) data for Co14W after structural relaxation, as listed in OQMD.

a = 8.6648 Å, b = 8.6648 Å, c = 4.5181 Å
α = 90.00°, β = 90.00°, γ = 90.00°
Fractional coordinates of all 30 atoms:
Co 0.0394 0.3678 0.0000
Co 0.0677 0.2690 0.5000
Co 0.1026 0.1026 0.0000
Co 0.1322 0.5394 0.5000
Co 0.1861 0.8139 0.2481
Co 0.1861 0.8139 0.7519
Co 0.2310 0.5677 0.0000
Co 0.2690 0.0677 0.5000
Co 0.3139 0.3139 0.2519
Co 0.3139 0.3139 0.7481
Co 0.3678 0.0394 0.0000
Co 0.3974 0.6026 0.5000
Co 0.4323 0.7690 0.0000
Co 0.4606 0.8678 0.5000
Co 0.5394 0.1322 0.5000
Co 0.5677 0.2310 0.0000
Co 0.6026 0.3974 0.5000
Co 0.6322 0.9606 0.0000
Co 0.6861 0.6861 0.2519
Co 0.6861 0.6861 0.7481
Co 0.7310 0.9323 0.5000
Co 0.7690 0.4323 0.0000
Co 0.8139 0.1861 0.2481
Co 0.8139 0.1861 0.7519
Co 0.8678 0.4606 0.5000
Co 0.8974 0.8974 0.0000
Co 0.9323 0.7310 0.5000
Co 0.9606 0.6322 0.0000
W 0.0000 0.0000 0.5000
W 0.5000 0.5000 0.0000

Output
Magnetic moment in μB per atom: 1.38
Symmetry: No. 136
Calculated total energy in eV/atom: -7.372



Record 6
First-principles (PBE-GGA) data for Co8W7 after structural relaxation, as listed in OQMD.

a = 9.1823 Å, b = 9.1823 Å, c = 4.7202 Å
α = 90.00°, β = 90.00°, γ = 90.00°
Fractional coordinates of all 30 atoms:
Co 0.0641 0.2614 0.0000
Co 0.1869 0.8131 0.2502
Co 0.1869 0.8131 0.7498
Co 0.2386 0.5641 0.5000
Co 0.2614 0.0641 0.0000
Co 0.3131 0.3131 0.2498
Co 0.3131 0.3131 0.7502
Co 0.4359 0.7614 0.5000
Co 0.5641 0.2386 0.5000
Co 0.6869 0.6869 0.2498
Co 0.6869 0.6869 0.7502
Co 0.7386 0.9359 0.0000
Co 0.7614 0.4359 0.5000
Co 0.8131 0.1869 0.2502
Co 0.8131 0.1869 0.7498
Co 0.9359 0.7386 0.0000
W 0.0000 0.0000 0.0000
W 0.0377 0.3691 0.5000
W 0.1032 0.1032 0.5000
W 0.1309 0.5377 0.0000
W 0.3691 0.0377 0.5000
W 0.3968 0.6032 0.0000
W 0.4623 0.8691 0.0000
W 0.5000 0.5000 0.5000
W 0.5377 0.1309 0.0000
W 0.6032 0.3968 0.0000
W 0.6309 0.9623 0.5000
W 0.8691 0.4623 0.0000
W 0.8968 0.8968 0.5000
W 0.9623 0.6309 0.5000

Output
E above lowest polymorph in eV per atom: 0.000
Magnetic moment in μB per atom: 0.42
Symmetry: No. 136



Record 7
First-principles (PBE-GGA) data for Co7W8 after structural relaxation, as listed in OQMD.

a = 9.0979 Å, b = 9.0979 Å, c = 4.9262 Å
α = 90.00°, β = 90.00°, γ = 90.00°
Fractional coordinates of all 30 atoms:
Co 0.0000 0.0000 0.0000
Co 0.0696 0.2520 0.0000
Co 0.0945 0.0945 0.5000
Co 0.2480 0.5696 0.5000
Co 0.2520 0.0696 0.0000
Co 0.4055 0.5945 0.0000
Co 0.4304 0.7520 0.5000
Co 0.5000 0.5000 0.5000
Co 0.5696 0.2480 0.5000
Co 0.5945 0.4055 0.0000
Co 0.7480 0.9304 0.0000
Co 0.7520 0.4304 0.5000
Co 0.9055 0.9055 0.5000
Co 0.9304 0.7480 0.0000
W 0.0389 0.3620 0.5000
W 0.1380 0.5389 0.0000
W 0.1804 0.8196 0.2493
W 0.1804 0.8196 0.7507
W 0.3196 0.3196 0.2507
W 0.3196 0.3196 0.7493
W 0.3620 0.0389 0.5000
W 0.4611 0.8620 0.0000
W 0.5389 0.1380 0.0000
W 0.6380 0.9611 0.5000
W 0.6804 0.6804 0.2507
W 0.6804 0.6804 0.7493
W 0.8196 0.1804 0.2493
W 0.8196 0.1804 0.7507
W 0.8620 0.4611 0.0000
W 0.9611 0.6380 0.5000

Output
E above lowest polymorph in eV per atom: 0.000
Magnetic moment in μB per atom: 0.36
Symmetry: No. 136



Record 8
First-principles (PBE-GGA) data for Co5W7 after structural relaxation, as listed in OQMD.

a = 5.0620 Å, b = 5.0620 Å, c = 15.8780 Å
α = 90.00°, β = 90.00°, γ = 120.00°
Fractional coordinates of all 24 atoms:
Co 0.1511 0.3022 0.2500
Co 0.1511 0.8489 0.2500
Co 0.3022 0.1511 0.7500
Co 0.3333 0.6667 0.6632
Co 0.3333 0.6667 0.8368
Co 0.6667 0.3333 0.1632
Co 0.6667 0.3333 0.3368
Co 0.6978 0.8489 0.2500
Co 0.8489 0.1511 0.7500
Co 0.8489 0.6978 0.7500
W 0.0000 0.0000 0.0986
W 0.0000 0.0000 0.4014
W 0.0000 0.0000 0.5986
W 0.0000 0.0000 0.9014
W 0.0000 0.5000 0.0000
W 0.0000 0.5000 0.5000
W 0.3333 0.6667 0.1395
W 0.3333 0.6667 0.3605
W 0.5000 0.0000 0.0000
W 0.5000 0.0000 0.5000
W 0.5000 0.5000 0.0000
W 0.5000 0.5000 0.5000
W 0.6667 0.3333 0.6395
W 0.6667 0.3333 0.8605

Output
E above lowest polymorph in eV per atom: 0.201
Magnetic moment in μB per atom: 0.45
Symmetry: No. 194



Record 9
First-principles (PBE-GGA) data for Co11W4 after structural relaxation, as listed in OQMD.

a = 8.8155 Å, b = 8.8155 Å, c = 4.6370 Å
α = 90.00°, β = 90.00°, γ = 90.00°
Fractional coordinates of all 30 atoms:
Co 0.0000 0.0000 0.0000
Co 0.0668 0.2571 0.0000
Co 0.0912 0.0912 0.5000
Co 0.1811 0.8189 0.2506
Co 0.1811 0.8189 0.7494
Co 0.2429 0.5668 0.5000
Co 0.2571 0.0668 0.0000
Co 0.3189 0.3189 0.2494
Co 0.3189 0.3189 0.7506
Co 0.4088 0.5912 0.0000
Co 0.4332 0.7571 0.5000
Co 0.5000 0.5000 0.5000
Co 0.5668 0.2429 0.5000
Co 0.5912 0.4088 0.0000
Co 0.6811 0.6811 0.2494
Co 0.6811 0.6811 0.7506
Co 0.7429 0.9332 0.0000
Co 0.7571 0.4332 0.5000
Co 0.8189 0.1811 0.2506
Co 0.8189 0.1811 0.7494
Co 0.9088 0.9088 0.5000
Co 0.9332 0.7429 0.0000
W 0.0379 0.3549 0.5000
W 0.1451 0.5379 0.0000
W 0.3549 0.0379 0.5000
W 0.4621 0.8549 0.0000
W 0.5379 0.1451 0.0000
W 0.6451 0.9621 0.5000
W 0.8549 0.4621 0.0000
W 0.9621 0.6451 0.5000

Output
Magnetic moment in μB per atom: 0.63
Symmetry: No. 136
Calculated total energy in eV/atom: -8.578



Record 10
First-principles (PBE-GGA) data for Co13W16 after structural relaxation, as listed in OQMD.

a = 8.0100 Å, b = 8.0100 Å, c = 8.0100 Å
α = 109.47°, β = 109.47°, γ = 109.47°
Fractional coordinates of all 29 atoms:
Co 0.0000 0.0000 0.0000
Co 0.0000 0.1882 0.3673
Co 0.0000 0.3673 0.1882
Co 0.1791 0.8118 0.8118
Co 0.1882 0.0000 0.3673
Co 0.1882 0.3673 0.0000
Co 0.3673 0.0000 0.1882
Co 0.3673 0.1882 0.0000
Co 0.6327 0.6327 0.8209
Co 0.6327 0.8209 0.6327
Co 0.8118 0.1791 0.8118
Co 0.8118 0.8118 0.1791
Co 0.8209 0.6327 0.6327
W 0.0000 0.0000 0.6705
W 0.0000 0.3939 0.6859
W 0.0000 0.6705 0.0000
W 0.0000 0.6859 0.3939
W 0.2920 0.6061 0.6061
W 0.3141 0.3141 0.7080
W 0.3141 0.7080 0.3141
W 0.3295 0.3295 0.3295
W 0.3939 0.0000 0.6859
W 0.3939 0.6859 0.0000
W 0.6061 0.2920 0.6061
W 0.6061 0.6061 0.2920
W 0.6705 0.0000 0.0000
W 0.6859 0.0000 0.3939
W 0.6859 0.3939 0.0000
W 0.7080 0.3141 0.3141

Output
E above lowest polymorph in eV per atom: 0.000
Magnetic moment in μB per atom: 0.01
Symmetry: No. 217



Record 11
First-principles (PBE-GGA) data for Co4W11 after structural relaxation, as listed in OQMD.

a = 9.5649 Å, b = 9.5649 Å, c = 4.9880 Å
α = 90.00°, β = 90.00°, γ = 90.00°
Fractional coordinates of all 30 atoms:
Co 0.1823 0.1823 0.2485
Co 0.1823 0.1823 0.7515
Co 0.3177 0.6823 0.2515
Co 0.3177 0.6823 0.7485
Co 0.6823 0.3177 0.2515
Co 0.6823 0.3177 0.7485
Co 0.8177 0.8177 0.2485
Co 0.8177 0.8177 0.7515
W 0.0000 0.0000 0.5000
W 0.0374 0.6337 0.0000
W 0.0666 0.7379 0.5000
W 0.0991 0.9009 0.0000
W 0.1337 0.4626 0.5000
W 0.2379 0.4334 0.0000
W 0.2621 0.9334 0.5000
W 0.3663 0.9626 0.0000
W 0.4009 0.4009 0.5000
W 0.4334 0.2379 0.0000
W 0.4626 0.1337 0.5000
W 0.5000 0.5000 0.0000
W 0.5374 0.8663 0.5000
W 0.5666 0.7621 0.0000
W 0.5991 0.5991 0.5000
W 0.6337 0.0374 0.0000
W 0.7379 0.0666 0.5000
W 0.7621 0.5666 0.0000
W 0.8663 0.5374 0.5000
W 0.9009 0.0991 0.0000
W 0.9334 0.2621 0.5000
W 0.9626 0.3663 0.0000

Output
E above lowest polymorph in eV per atom: 0.088
Magnetic moment in μB per atom: 0.38
Symmetry: No. 136



Record 12
First-principles (PBE-GGA) data for Co8W5 after structural relaxation, as listed in OQMD.

a = 8.9765 Å, b = 8.9765 Å, c = 8.9765 Å
α = 30.47°, β = 30.47°, γ = 30.47°
Fractional coordinates of all 13 atoms:
Co 0.0891 0.0891 0.5817
Co 0.0891 0.5817 0.0891
Co 0.1639 0.1639 0.1639
Co 0.4183 0.9109 0.9109
Co 0.5817 0.0891 0.0891
Co 0.8361 0.8361 0.8361
Co 0.9109 0.4183 0.9109
Co 0.9109 0.9109 0.4183
W 0.0000 0.0000 0.0000
W 0.3467 0.3467 0.3467
W 0.4517 0.4517 0.4517
W 0.5483 0.5483 0.5483
W 0.6533 0.6533 0.6533

Output
E above lowest polymorph in eV per atom: 0.090
Magnetic moment in μB per atom: 0.01
Symmetry: No. 166



Record 13
First-principles (PBE-GGA) data for Co8W5 after structural relaxation, as listed in OQMD.

a = 8.9195 Å, b = 8.9195 Å, c = 8.9195 Å
α = 30.70°, β = 30.70°, γ = 30.70°
Fractional coordinates of all 13 atoms:
Co 0.0457 0.0457 0.0457
Co 0.0784 0.5903 0.5903
Co 0.4097 0.4097 0.9216
Co 0.4097 0.9216 0.4097
Co 0.5903 0.0784 0.5903
Co 0.5903 0.5903 0.0784
Co 0.9216 0.4097 0.4097
Co 0.9543 0.9543 0.9543
W 0.1461 0.1461 0.1461
W 0.3360 0.3360 0.3360
W 0.5000 0.5000 0.5000
W 0.6640 0.6640 0.6640
W 0.8539 0.8539 0.8539

Output
E above lowest polymorph in eV per atom: 0.010
Magnetic moment in μB per atom: 0.54
Symmetry: No. 166